{
  "formula": "K2Dy2CrO6",
  "functional": "PBE+U",
  "state": "relaxed",
  "cell": [[5.680, 0.027, 0.092], [-2.784, 4.951, 0.092], [-0.991, -1.703, 6.281]],
  "species": ["K", "K", "Dy", "Dy", "Cr", "O", "O", "O", "O", "O", "O"],
  "fractional_positions": [[0.839, 0.161, 0.000], [0.161, 0.839, 0.000], [0.336, 0.664, 0.500], [0.664, 0.336, 0.500], [0.000, 0.000, 0.500], [0.753, 0.753, 0.674], [0.048, 0.346, 0.667], [0.247, 0.247, 0.326], [0.346, 0.048, 0.667], [0.952, 0.654, 0.333], [0.654, 0.952, 0.333]],
  "magmom_total_mub_per_atom": 0.18,
  "spacegroup": "No. 12",
  "final_energy_ev_per_atom": -6.84
}